5
Lattice="5.243 0.000 0.000 0.000 5.243 0.000 0.000 0.000 5.243" Properties=species:S:1:pos:R:3 comment="BaZr3Au PBE relaxed" relative_energy_ev_per_atom=1.270 crystal_system=cubic pbc="T T T"
Zr 0.000 2.622 0.000
Zr 0.000 0.000 2.622
Zr 2.622 0.000 0.000
Ba 0.000 0.000 0.000
Au 2.622 2.622 2.622

---

5
Lattice="4.366 0.000 0.000 0.000 4.366 0.000 2.183 2.183 8.405" Properties=species:S:1:pos:R:3 comment="Ba2Zr2Au PBE relaxed" relative_energy_ev_per_atom=0.673 crystal_system=tetragonal pbc="T T T"
Zr 2.183 2.183 1.204
Zr 4.366 4.366 7.200
Au 0.000 0.000 0.000
Ba 2.183 4.366 4.202
Ba 4.366 2.183 4.202

---

6
Lattice="0.000 4.080 4.080 4.080 0.000 4.080 4.080 4.080 0.000" Properties=species:S:1:pos:R:3 comment="BaZrAu4 PBE relaxed" crystal_system=cubic pbc="T T T"
Ba 6.120 6.120 6.120
Au 3.052 3.052 3.052
Au 3.052 5.107 5.107
Au 5.107 5.107 3.052
Au 5.107 3.052 5.107
Zr 0.000 0.000 0.000

---

4
Lattice="-3.097 -3.335 3.063 0.007 -3.157 4.486 -2.333 4.436 4.536" Properties=species:S:1:pos:R:3 comment="BaZr2Au PBE relaxed" relative_energy_ev_per_atom=0.274 crystal_system=monoclinic pbc="T T T"
Au -2.808 -0.577 6.196
Zr -2.145 3.749 4.211
Zr -4.148 -1.542 9.241
Ba -1.366 -0.277 3.015

---

4
Lattice="3.733 0.000 0.000 0.000 3.733 0.000 0.000 0.000 7.737" Properties=species:S:1:pos:R:3 comment="BaZrAu2 PBE relaxed" relative_energy_ev_per_atom=0.294 crystal_system=tetragonal pbc="T T T"
Au 0.000 0.000 7.671
Au 1.867 1.867 1.569
Ba 0.000 0.000 3.611
Zr 1.867 1.867 6.492

---

4
Lattice="-2.959 -0.583 -1.689 -0.778 -2.522 2.232 -5.079 3.610 7.649" Properties=species:S:1:pos:R:3 comment="BaZr2Au PBE relaxed" relative_energy_ev_per_atom=0.000 crystal_system=monoclinic pbc="T T T"
Zr -3.053 0.138 1.764
Zr -1.054 -2.127 2.580
Ba -5.726 0.314 6.384
Au -2.688 0.201 4.637

---

4
Lattice="5.280 0.000 0.000 0.000 5.280 0.000 0.000 0.000 3.416" Properties=species:S:1:pos:R:3 comment="BaZr2Au PBE relaxed" relative_energy_ev_per_atom=0.532 crystal_system=tetragonal pbc="T T T"
Au 2.640 0.000 1.708
Ba 0.000 2.640 1.708
Zr 2.640 2.640 0.000
Zr 0.000 0.000 0.000

---

4
Lattice="-1.771 -3.691 3.318 -4.513 -2.520 -1.027 0.079 -5.075 -1.419" Properties=species:S:1:pos:R:3 comment="BaZrAu2 PBE relaxed" relative_energy_ev_per_atom=0.362 crystal_system=cubic pbc="T T T"
Au -1.551 -2.821 0.218
Au -4.653 -8.464 0.655
Zr 0.000 0.000 0.000
Ba -3.102 -5.643 0.436

---

8
Lattice="4.375 0.000 0.000 0.000 4.375 0.000 2.188 2.188 11.435" Properties=species:S:1:pos:R:3 comment="BaZr2Au PBE relaxed" relative_energy_ev_per_atom=0.469 crystal_system=tetragonal pbc="T T T"
Ba 2.188 4.375 5.718
Ba 2.188 2.188 0.000
Zr 3.385 1.094 2.859
Zr 0.990 3.282 2.859
Zr 3.282 3.178 8.577
Zr 5.469 5.573 8.577
Au 4.375 2.188 5.718
Au 0.000 0.000 0.000

---

4
Lattice="-1.594 2.893 -0.168 -3.384 -1.794 1.211 2.017 1.573 7.965" Properties=species:S:1:pos:R:3 comment="BaZr2Au PBE relaxed" relative_energy_ev_per_atom=0.285 crystal_system=orthorhombic pbc="T T T"
Ba -0.976 1.729 6.496
Zr 0.167 0.131 0.661
Zr 0.841 0.656 3.321
Au -1.985 0.943 2.513

---

4
Lattice="6.402 -0.008 0.005 3.383 5.435 -0.005 -4.350 -3.691 2.905" Properties=species:S:1:pos:R:3 comment="BaZrAu2 PBE relaxed" relative_energy_ev_per_atom=0.353 crystal_system=orthorhombic pbc="T T T"
Ba 4.931 2.735 0.000
Au 0.023 0.013 0.000
Au 3.723 -0.354 1.455
Zr 1.650 2.056 1.450

---

6
Lattice="0.000 5.049 5.049 5.049 0.000 5.049 5.049 5.049 0.000" Properties=species:S:1:pos:R:3 comment="Ba4ZrAu PBE relaxed" crystal_system=cubic pbc="T T T"
Ba 6.313 3.786 6.313
Ba 3.786 3.786 3.786
Ba 3.786 6.313 6.313
Ba 6.313 6.313 3.786
Zr 7.574 7.574 7.574
Au 0.000 0.000 0.000

---

4
Lattice="-3.773 -9.262 -3.366 -1.121 -10.397 -1.416 -4.191 -9.685 0.065" Properties=species:S:1:pos:R:3 comment="BaZr2Au PBE relaxed" relative_energy_ev_per_atom=0.235 crystal_system=trigonal pbc="T T T"
Zr -8.971 -28.977 -4.658
Zr -2.222 -7.179 -1.154
Au -4.646 -15.008 -2.412
Ba -6.872 -22.197 -3.568

---

4
Lattice="4.058 0.000 0.000 0.000 3.765 -0.231 0.000 0.459 7.515" Properties=species:S:1:pos:R:3 comment="BaZrAu2 PBE relaxed" relative_energy_ev_per_atom=0.142 crystal_system=orthorhombic pbc="T T T"
Ba 0.000 2.570 3.395
Au 2.029 0.575 1.672
Au 0.000 0.861 6.363
Zr 2.029 2.789 7.011

---

4
Lattice="-2.583 -2.000 4.175 2.454 -3.380 3.264 1.306 1.528 4.905" Properties=species:S:1:pos:R:3 comment="BaZr2Au PBE relaxed" relative_energy_ev_per_atom=0.504 crystal_system=cubic pbc="T T T"
Ba 0.883 -2.889 9.258
Zr 0.294 -0.963 3.086
Zr 0.000 0.000 0.000
Au 0.589 -1.926 6.172

---

4
Lattice="6.162 -0.015 0.000 2.971 5.398 0.000 -4.566 -2.691 3.142" Properties=species:S:1:pos:R:3 comment="BaZr2Au PBE relaxed" relative_energy_ev_per_atom=0.472 crystal_system=tetragonal pbc="T T T"
Zr 0.000 0.000 0.000
Zr 4.566 2.691 0.000
Au 1.486 2.699 1.571
Ba 3.081 -0.008 1.571

---

4
Lattice="3.580 0.000 0.000 0.000 3.612 0.011 0.000 3.584 7.886" Properties=species:S:1:pos:R:3 comment="BaZrAu2 PBE relaxed" relative_energy_ev_per_atom=0.000 crystal_system=orthorhombic pbc="T T T"
Zr 1.790 5.397 5.923
Ba 1.790 1.799 1.974
Au 0.000 3.586 7.396
Au 0.000 3.596 4.438

---

5
Lattice="5.358 0.000 0.000 0.000 5.358 0.000 0.000 0.000 5.358" Properties=species:S:1:pos:R:3 comment="BaZr3Au PBE relaxed" relative_energy_ev_per_atom=0.000 crystal_system=cubic pbc="T T T"
Zr 0.000 0.000 2.679
Zr 2.679 0.000 0.000
Zr 0.000 2.679 0.000
Au 0.000 0.000 0.000
Ba 2.679 2.679 2.679

---

4
Lattice="-6.099 0.986 1.404 -3.933 -4.967 -0.060 5.127 2.776 2.481" Properties=species:S:1:pos:R:3 comment="BaZr2Au PBE relaxed" relative_energy_ev_per_atom=0.376 crystal_system=orthorhombic pbc="T T T"
Zr -9.823 -3.898 1.317
Zr -2.779 0.971 2.250
Au -5.261 -2.088 0.705
Ba -2.090 -2.162 1.571

---

4
Lattice="-1.326 5.783 -1.487 -3.899 1.072 -4.589 0.247 -3.455 5.041" Properties=species:S:1:pos:R:3 comment="BaZrAu2 PBE relaxed" relative_energy_ev_per_atom=0.459 crystal_system=tetragonal pbc="T T T"
Ba -2.612 3.427 -3.038
Au -3.132 0.522 -1.293
Au 0.000 0.000 0.000
Zr -1.846 2.878 0.258

---

4
Lattice="0.000 3.595 3.595 3.595 0.000 3.595 3.595 3.595 0.000" Properties=species:S:1:pos:R:3 comment="BaZr2Au PBE relaxed" relative_energy_ev_per_atom=0.465 crystal_system=cubic pbc="T T T"
Zr 1.798 1.798 1.798
Zr 5.393 5.393 5.393
Au 3.595 3.595 3.595
Ba 0.000 0.000 0.000

---

8
Lattice="-4.590 0.142 -6.519 -1.905 -7.653 1.175 -6.313 -2.657 -0.489" Properties=species:S:1:pos:R:3 comment="BaZrAu2 PBE relaxed" relative_energy_ev_per_atom=0.357 crystal_system=tetragonal pbc="T T T"
Ba 0.000 0.000 0.000
Ba -7.075 -3.136 -4.840
Au -3.614 -5.421 -0.587
Au -4.415 -1.541 -3.665
Au -10.306 -8.114 -5.112
Au -7.283 -5.261 -2.301
Zr -5.733 -7.033 -0.993
Zr -3.248 -3.756 -2.672

---

4
Lattice="3.264 -0.001 0.000 0.001 3.264 0.000 0.000 0.000 9.980" Properties=species:S:1:pos:R:3 comment="BaZr2Au PBE relaxed" relative_energy_ev_per_atom=0.311 crystal_system=tetragonal pbc="T T T"
Zr 0.000 0.000 0.607
Zr 0.000 0.000 4.383
Ba 1.632 1.631 7.485
Au 1.632 1.631 2.495

---

4
Lattice="7.989 -0.529 -0.314 7.156 3.592 -0.314 7.156 1.447 3.302" Properties=species:S:1:pos:R:3 comment="BaZrAu2 PBE relaxed" relative_energy_ev_per_atom=0.150 crystal_system=trigonal pbc="T T T"
Zr 14.901 3.014 1.787
Ba 11.091 2.243 1.330
Au 1.395 0.282 0.167
Au 6.063 1.226 0.727

---

4
Lattice="5.067 0.000 0.000 2.533 4.388 0.000 2.533 1.463 4.137" Properties=species:S:1:pos:R:3 comment="BaZrAu2 PBE relaxed" relative_energy_ev_per_atom=0.522 crystal_system=cubic pbc="T T T"
Au 0.000 0.000 0.000
Au 2.533 1.463 1.034
Zr 7.600 4.388 3.103
Ba 5.067 2.925 2.068

---

8
Lattice="4.823 0.000 0.000 0.000 4.823 0.000 0.000 0.000 4.884" Properties=species:S:1:pos:R:3 comment="BeAu PBE relaxed" crystal_system=tetragonal pbc="T T T"
Be 1.508 3.315 0.000
Be 3.919 3.919 2.442
Be 0.904 0.904 2.442
Be 3.315 1.508 0.000
Au 3.817 3.817 0.000
Au 1.405 3.418 2.442
Au 3.418 1.405 2.442
Au 1.006 1.006 0.000

---

16
Lattice="-2.936 -2.307 3.219 3.394 -0.500 2.737 -2.112 8.514 4.175" Properties=species:S:1:pos:R:3 comment="BeAu PBE relaxed" crystal_system=orthorhombic pbc="T T T"
Be 1.809 4.045 5.053
Be -1.142 -0.625 1.781
Be -0.690 2.257 5.266
Be -3.285 5.736 8.161
Be 0.121 0.453 6.650
Be -0.508 4.666 5.321
Be 0.670 0.792 2.513
Be -3.591 5.503 5.778
Au 0.317 -2.091 5.802
Au -1.324 6.723 6.848
Au -1.984 6.238 4.039
Au 1.646 1.232 4.782
Au -2.000 3.913 7.152
Au -2.641 3.426 4.360
Au -0.971 0.030 4.289
Au 0.339 3.356 3.252

---

14
Lattice="5.031 0.000 0.000 0.000 6.915 0.299 -2.515 -0.702 6.231" Properties=species:S:1:pos:R:3 comment="Be2Au5 PBE relaxed" crystal_system=monoclinic pbc="T T T"
Au 2.176 5.481 3.080
Au 3.160 1.729 0.075
Au 1.871 5.186 0.224
Au 4.391 6.206 1.392
Au -0.340 4.190 3.599
Au 0.340 0.732 3.450
Au 2.855 2.023 2.931
Au 1.875 3.465 5.288
Au -1.875 0.008 5.138
Au 0.640 2.748 1.242
Be 1.566 0.392 1.321
Be 3.464 3.850 1.471
Be -0.949 2.364 5.059
Be 0.949 5.821 5.209

---

| no. | calculated formation energy (meV/atom) | size of the total moment (μB per cell) | total DFT energy (no corrections) (eV for the cell shown) |
| --- | --- | --- | --- |
| 1 | 1781 | 1.8 | -21.9 |
| 2 | 927 | 0.0 | -19.6 |
| 3 | -111 | 1.3 | -24.2 |
| 4 | 138 | 0.0 | -21.7 |
| 5 | -187 | 1.0 | -17.8 |
| 6 | -136 | 0.0 | -22.8 |
| 7 | 396 | 0.0 | -20.7 |
| 8 | -119 | 0.0 | -17.5 |
| 9 | 332 | 0.0 | -41.9 |
| 10 | 148 | 0.0 | -21.7 |
| 11 | -129 | 0.0 | -17.5 |
| 12 | 770 | 4.4 | -14.9 |
| 13 | 99 | 0.0 | -21.9 |
| 14 | -340 | 0.0 | -18.4 |
| 15 | 367 | 2.8 | -20.8 |
| 16 | 335 | 0.0 | -21.0 |
| 17 | -481 | 0.0 | -19.0 |
| 18 | 510 | 0.0 | -28.3 |
| 19 | 240 | 0.0 | -21.3 |
| 20 | -23 | 1.1 | -17.1 |
| 21 | 329 | 0.0 | -21.0 |
| 22 | -124 | 0.0 | -35.0 |
| 23 | 174 | 0.0 | -21.6 |
| 24 | -331 | 0.0 | -18.4 |
| 25 | 41 | 0.0 | -16.9 |
| 26 | 44 | 0.0 | -27.7 |
| 27 | -103 | 0.0 | -57.7 |
| 28 | -98 | 0.0 | -49.1 |